DFT (PBE) results for a geometry-optimized GaPbClO2 structure.

Values from the calculation:
Its formation energy from raw total energies is -1.46 eV/atom. The magnetization comes out at 0.00 μB/f.u. Its space group is P2_1/m (11). As for the density of states at the Fermi level: 0.00 states/eV/cell. Its energy is -5.16 eV per atom.

The structure in CIF format:
```
data_GaPbClO2
_space_group_name_H-M_alt 'P 1'
_space_group_IT_number 1
_space_group_name_Hall 'P 1'
_cell_length_a 4.051
_cell_length_b 7.229
_cell_length_c 7.434
_cell_angle_alpha 101.63
_cell_angle_beta 90.00
_cell_angle_gamma 90.00
loop_
_atom_site_label
_atom_site_type_symbol
_atom_site_fract_x
_atom_site_fract_y
_atom_site_fract_z
Ga1 Ga 0.250 0.918 0.855
Ga2 Ga 0.750 0.082 0.145
Pb1 Pb 0.750 0.196 0.651
Pb2 Pb 0.250 0.804 0.349
Cl1 Cl 0.750 0.397 0.229
Cl2 Cl 0.250 0.603 0.771
O1 O 0.750 0.993 0.886
O2 O 0.250 0.007 0.114
O3 O 0.250 0.020 0.641
O4 O 0.750 0.980 0.359
```

---

DFT (PBE) results for a geometry-optimized LiScBeAg structure.

Values from the calculation:
The magnetization comes out at 0.00 μB/f.u. Its space group is F-43m (216). As for the density of states at the Fermi level: 5.04 states/eV/cell. Its formation energy is -15 meV/atom. Its energy is -3.72 eV per atom.

The structure in CIF format:
```
data_LiScBeAg
_space_group_name_H-M_alt 'P 1'
_space_group_IT_number 1
_space_group_name_Hall 'P 1'
_cell_length_a 4.402
_cell_length_b 4.402
_cell_length_c 4.402
_cell_angle_alpha 60.00
_cell_angle_beta 60.00
_cell_angle_gamma 60.00
loop_
_atom_site_label
_atom_site_type_symbol
_atom_site_fract_x
_atom_site_fract_y
_atom_site_fract_z
Sc1 Sc 0.750 0.750 0.750
Be1 Be 0.500 0.500 0.500
Ag1 Ag 0.250 0.250 0.250
Li1 Li 0.000 0.000 0.000
```

---

DFT (PBE) results for a geometry-optimized CaNd5Zn6 structure.

Values from the calculation:
The magnetization comes out at 0.00 μB/f.u. Its space group is Cmmm (65). As for the density of states at the Fermi level: 12.89 states/eV/cell. Its formation energy is -297 meV/atom. Its energy is -3.09 eV per atom.

The structure in CIF format:
```
data_CaNd5Zn6
_space_group_name_H-M_alt 'P 1'
_space_group_IT_number 1
_space_group_name_Hall 'P 1'
_cell_length_a 5.203
_cell_length_b 7.373
_cell_length_c 8.240
_cell_angle_alpha 90.00
_cell_angle_beta 71.59
_cell_angle_gamma 90.01
loop_
_atom_site_label
_atom_site_type_symbol
_atom_site_fract_x
_atom_site_fract_y
_atom_site_fract_z
Ca1 Ca 0.000 0.000 0.000
Nd1 Nd 0.668 0.500 0.664
Nd2 Nd 0.336 0.000 0.327
Nd3 Nd 0.000 0.500 0.000
Nd4 Nd 0.664 0.000 0.673
Nd5 Nd 0.332 0.500 0.336
Zn1 Zn 0.832 0.751 0.335
Zn2 Zn 0.832 0.249 0.335
Zn3 Zn 0.500 0.252 0.000
Zn4 Zn 0.500 0.748 0.000
Zn5 Zn 0.168 0.751 0.665
Zn6 Zn 0.168 0.249 0.665
```

---

DFT (PBE) results for a geometry-optimized Te2IrSeN structure.

Values from the calculation:
Its formation energy from raw total energies is 0.41 eV/atom. The magnetization comes out at 0.00 μB/f.u. Its space group is P4/mmm (123). As for the density of states at the Fermi level: 3.84 states/eV/cell. The value obtained for the energy above the most stable polymorph in this dataset is 0 meV/atom. Its energy is -4.98 eV per atom.

The structure in CIF format:
```
data_Te2IrSeN
_space_group_name_H-M_alt 'P 1'
_space_group_IT_number 1
_space_group_name_Hall 'P 1'
_cell_length_a 5.509
_cell_length_b 5.509
_cell_length_c 3.667
_cell_angle_alpha 90.00
_cell_angle_beta 90.00
_cell_angle_gamma 90.00
loop_
_atom_site_label
_atom_site_type_symbol
_atom_site_fract_x
_atom_site_fract_y
_atom_site_fract_z
Ir1 Ir 0.000 0.000 0.000
Te1 Te 0.000 0.500 0.000
Te2 Te 0.500 0.000 0.000
Se1 Se 0.500 0.500 0.500
N1 N 0.000 0.000 0.500
```

---

DFT (PBE) results for a geometry-optimized AcPu2S3 structure.

Values from the calculation:
Its formation energy from raw total energies is -1.80 eV/atom. The magnetization comes out at 11.51 μB/f.u. Its space group is Immm (71). As for the density of states at the Fermi level: 17.75 states/eV/cell. Its energy is -9.33 eV per atom.

The structure in CIF format:
```
data_AcPu2S3
_space_group_name_H-M_alt 'P 1'
_space_group_IT_number 1
_space_group_name_Hall 'P 1'
_cell_length_a 4.089
_cell_length_b 5.815
_cell_length_c 7.091
_cell_angle_alpha 114.21
_cell_angle_beta 106.76
_cell_angle_gamma 90.00
loop_
_atom_site_label
_atom_site_type_symbol
_atom_site_fract_x
_atom_site_fract_y
_atom_site_fract_z
Ac1 Ac 0.000 0.500 0.000
Pu1 Pu 0.664 0.164 0.329
Pu2 Pu 0.336 0.836 0.671
S1 S 0.320 0.320 0.640
S2 S 0.000 0.000 0.000
S3 S 0.680 0.680 0.360
```

---

DFT (PBE) results for a geometry-optimized TaTi2Tc2 structure.

Values from the calculation:
The magnetization comes out at 0.00 μB/f.u. Its space group is Cmcm (63). As for the density of states at the Fermi level: 7.37 states/eV/cell. Its formation energy is -437 meV/atom. The value obtained for the energy above the most stable polymorph in this dataset is 0 meV/atom. Its energy is -10.11 eV per atom.

The structure in CIF format:
```
data_TaTi2Tc2
_space_group_name_H-M_alt 'P 1'
_space_group_IT_number 1
_space_group_name_Hall 'P 1'
_cell_length_a 3.157
_cell_length_b 4.498
_cell_length_c 11.246
_cell_angle_alpha 90.00
_cell_angle_beta 98.08
_cell_angle_gamma 90.00
loop_
_atom_site_label
_atom_site_type_symbol
_atom_site_fract_x
_atom_site_fract_y
_atom_site_fract_z
Ta1 Ta 0.854 0.750 0.708
Ta2 Ta 0.146 0.250 0.292
Ti1 Ti 0.048 0.750 0.096
Ti2 Ti 0.952 0.250 0.904
Ti3 Ti 0.242 0.750 0.484
Ti4 Ti 0.758 0.250 0.516
Tc1 Tc 0.649 0.750 0.298
Tc2 Tc 0.351 0.250 0.702
Tc3 Tc 0.451 0.750 0.902
Tc4 Tc 0.549 0.250 0.098
```